(1)
AlZn2Hg: optimized geometry, PBEsol.

Energy above the most stable polymorph in this dataset ... 0.013 eV/atom
Energy of formation ... 0.073 eV per atom
Space-group type ... R-3m (166)
Electronic total energy ... -7.5 eV per cell

a = 8.6182 Å, b = 8.6182 Å, c = 8.6182 Å
α = 20.42°, β = 20.42°, γ = 20.42°
Closest atoms and distances in Å follow each position.
Positions (direct):
1 Al 0.0000 0.0000 0.0000  6 Zn 2.67
2 Zn 0.2539 0.2539 0.2539  3 Al 2.67, 3 Hg 2.83
3 Zn 0.7461 0.7461 0.7461  3 Al 2.67, 3 Hg 2.83
4 Hg 0.5000 0.5000 0.5000  6 Zn 2.83, 6 Hg 3.05

(2)
YSbI2Br: optimized geometry, PBEsol.

Space-group type ... P4/mmm (123)
Electronic total energy ... -15.2 eV per cell
Raw formation energy ... 0.32 eV per atom

a = 5.5370 Å, b = 5.5370 Å, c = 5.7153 Å
α = 90.00°, β = 90.00°, γ = 90.00°
Closest atoms and distances in Å follow each position.
Positions (direct):
1 Y 0.0000 0.0000 0.0000  4 Sb 3.92, 8 I 3.98
2 Sb 0.5000 0.5000 0.0000  2 Br 2.86
3 I 0.0000 0.5000 0.5000  2 Br 2.77
4 I 0.5000 0.0000 0.5000  2 Br 2.77
5 Br 0.5000 0.5000 0.5000  4 I 2.77, 2 Sb 2.86

(3)
URu2Rh: optimized geometry, PBEsol.

Energy of formation ... -0.413 eV per atom
Space-group type ... P4/mmm (123)
Electronic total energy ... -42.3 eV per cell

a = 3.9779 Å, b = 3.9779 Å, c = 3.8712 Å
α = 90.00°, β = 90.00°, γ = 90.00°
Closest atoms and distances in Å follow each position.
Positions (direct):
1 U 0.0000 0.0000 0.0000  8 Ru 2.78, 4 Rh 2.81
2 Ru 0.0000 0.5000 0.5000  4 Rh 2.78, 4 U 2.78, 4 Ru 2.81
3 Ru 0.5000 0.0000 0.5000  4 Rh 2.78, 4 U 2.78, 4 Ru 2.81
4 Rh 0.5000 0.5000 0.0000  8 Ru 2.78, 4 U 2.81

(4)
ZnIn2TcS: optimized geometry, PBEsol.

Space-group type ... P4/mmm (123)
Electronic total energy ... -22.2 eV per cell
Raw formation energy ... 0.21 eV per atom

a = 5.2830 Å, b = 5.2830 Å, c = 4.3442 Å
α = 90.00°, β = 90.00°, γ = 90.00°
Closest atoms and distances in Å follow each position.
Positions (direct):
1 Zn 0.0000 0.0000 0.0000  8 In 3.42, 4 S 3.74
2 In 0.0000 0.5000 0.5000  2 Tc 2.64
3 In 0.5000 0.0000 0.5000  2 Tc 2.64
4 Tc 0.5000 0.5000 0.5000  2 S 2.17
5 S 0.5000 0.5000 0.0000  2 Tc 2.17

(5)
Be2AlAg: optimized geometry, PBEsol.

Energy of formation ... 0.243 eV per atom
Space-group type ... R-3m (166)
Electronic total energy ... -14.4 eV per cell

a = 8.0725 Å, b = 8.0725 Å, c = 8.0725 Å
α = 19.50°, β = 19.50°, γ = 19.50°
Closest atoms and distances in Å follow each position.
Positions (direct):
1 Be 0.2495 0.2495 0.2495  3 Ag 2.52, 3 Al 2.54, 6 Be 2.73
2 Be 0.7505 0.7505 0.7505  3 Ag 2.52, 3 Al 2.54, 6 Be 2.73
3 Al 0.0000 0.0000 0.0000  6 Be 2.54, 6 Al 2.73
4 Ag 0.5000 0.5000 0.5000  6 Be 2.52, 6 Ag 2.73

(6)
KCrI3: optimized geometry, PBEsol.

Space-group type ... Pm-3m (221)
Electronic total energy ... -14.5 eV per cell
Raw formation energy ... 0.44 eV per atom

a = 6.2118 Å, b = 6.2118 Å, c = 6.2118 Å
α = 90.00°, β = 90.00°, γ = 90.00°
Closest atoms and distances in Å follow each position.
Positions (direct):
1 K 0.0000 0.0000 0.0000  6 I 3.11
2 Cr 0.5000 0.5000 0.5000  12 I 4.39
3 I 0.0000 0.0000 0.5000  2 K 3.11
4 I 0.0000 0.5000 0.0000  2 K 3.11
5 I 0.5000 0.0000 0.0000  2 K 3.11

(7)
Ir2RhSe: optimized geometry, PBEsol.

Space-group type ... F-43m (216)
Electronic total energy ... -29.4 eV per cell
Raw formation energy ... 0.55 eV per atom

a = 4.3686 Å, b = 4.3686 Å, c = 4.3686 Å
α = 60.00°, β = 60.00°, γ = 60.00°
Closest atoms and distances in Å follow each position.
Positions (direct):
1 Ir 0.0000 0.0000 0.0000  4 Ir 2.68, 4 Rh 2.68
2 Ir 0.2500 0.2500 0.2500  4 Se 2.68, 4 Ir 2.68
3 Rh 0.7500 0.7500 0.7500  4 Se 2.68, 4 Ir 2.68
4 Se 0.5000 0.5000 0.5000  4 Rh 2.68, 4 Ir 2.68

(8)
LiB2Te: optimized geometry, PBEsol.

Space-group type ... I-42d (122)
Electronic total energy ... -29.0 eV per cell
Raw formation energy ... 1.26 eV per atom

a = 5.8148 Å, b = 5.8148 Å, c = 5.8148 Å
α = 120.80°, β = 120.80°, γ = 88.62°
Closest atoms and distances in Å follow each position.
Positions (direct):
1 Li 0.0000 0.0000 0.0000  4 B 2.31
2 Li 0.7500 0.2500 0.5000  4 B 2.31
3 B 0.1339 0.1250 0.5089  2 Te 2.25, 2 Li 2.31
4 B 0.3750 0.8661 0.9911  2 Te 2.25, 2 Li 2.31
5 B 0.6161 0.6250 0.4911  2 Te 2.25, 2 Li 2.31
6 B 0.8750 0.3839 0.0089  2 Te 2.25, 2 Li 2.31
7 Te 0.2500 0.7500 0.5000  4 B 2.25
8 Te 0.5000 0.5000 0.0000  4 B 2.25

(9)
NbTeI2Cl: optimized geometry, PBEsol.

Space-group type ... P4/mmm (123)
Electronic total energy ... -20.0 eV per cell
Raw formation energy ... -0.03 eV per atom

a = 5.4146 Å, b = 5.4146 Å, c = 5.3227 Å
α = 90.00°, β = 90.00°, γ = 90.00°
Closest atoms and distances in Å follow each position.
Positions (direct):
1 Nb 0.0000 0.0000 0.0000  2 Te 2.66, 4 I 2.71
2 Te 0.0000 0.0000 0.5000  2 Nb 2.66
3 I 0.0000 0.5000 0.0000  2 Nb 2.71
4 I 0.5000 0.0000 0.0000  2 Nb 2.71
5 Cl 0.5000 0.5000 0.5000  8 I 3.80, 4 Te 3.83

(10)
In2RhPb: optimized geometry, PBEsol.

Energy of formation ... 0.182 eV per atom
Space-group type ... Cmmm (65)
Electronic total energy ... -17.4 eV per cell

a = 5.0984 Å, b = 5.0984 Å, c = 3.4700 Å
α = 90.00°, β = 90.00°, γ = 111.19°
Closest atoms and distances in Å follow each position.
Positions (direct):
1 In 0.0000 0.5000 0.0000  2 In 2.88, 4 Pb 3.08, 4 Rh 3.08
2 In 0.5000 0.0000 0.0000  2 In 2.88, 4 Pb 3.08, 4 Rh 3.08
3 Rh 0.0000 0.0000 0.5000  2 Pb 2.88, 8 In 3.08
4 Pb 0.5000 0.5000 0.5000  2 Rh 2.88, 8 In 3.08

(11)
TaSiRh: optimized geometry, PBEsol.

Space-group type ... Pnma (62)
Electronic total energy ... -116.5 eV per cell
Raw formation energy ... -0.89 eV per atom

a = 6.3421 Å, b = 3.7313 Å, c = 7.2633 Å
α = 90.00°, β = 90.00°, γ = 90.00°
Closest atoms and distances in Å follow each position.
Positions (direct):
1 Ta 0.0257 0.2500 0.1735  5 Si 2.65-2.71, 6 Rh 2.88-2.97
2 Ta 0.4743 0.7500 0.6735  5 Si 2.65-2.71, 6 Rh 2.88-2.97
3 Ta 0.5257 0.2500 0.3265  5 Si 2.65-2.71, 6 Rh 2.88-2.97
4 Ta 0.9743 0.7500 0.8265  5 Si 2.65-2.71, 6 Rh 2.88-2.97
5 Si 0.2326 0.7500 0.3753  4 Rh 2.38-2.43, 3 Ta 2.65-2.66
6 Si 0.2674 0.2500 0.8753  4 Rh 2.38-2.43, 3 Ta 2.65-2.66
7 Si 0.7326 0.7500 0.1247  4 Rh 2.38-2.43, 3 Ta 2.65-2.66
8 Si 0.7674 0.2500 0.6247  4 Rh 2.38-2.43, 3 Ta 2.65-2.66
9 Rh 0.1445 0.2500 0.5633  4 Si 2.38-2.43
10 Rh 0.3555 0.7500 0.0633  4 Si 2.38-2.43
11 Rh 0.6445 0.2500 0.9367  4 Si 2.38-2.43
12 Rh 0.8555 0.7500 0.4367  4 Si 2.38-2.43

(12)
SrLiW2: optimized geometry, PBEsol.

Energy above the most stable polymorph in this dataset ... 0.120 eV/atom
Energy of formation ... 1.100 eV per atom
Space-group type ... Pmmm (47)
Electronic total energy ... -27.0 eV per cell

a = 2.6852 Å, b = 5.3256 Å, c = 5.3294 Å
α = 90.00°, β = 90.00°, γ = 90.00°
Closest atoms and distances in Å follow each position.
Positions (direct):
1 Sr 0.0000 0.0000 0.0000  2 Li 2.66, 2 Sr 2.69
2 Li 0.0000 0.5000 0.0000  2 Sr 2.66, 2 Li 2.69
3 W 0.5000 0.2475 0.5000  4 W 2.64-2.69
4 W 0.5000 0.7525 0.5000  4 W 2.64-2.69

(13)
SrCuTc2: optimized geometry, PBEsol.

Energy of formation ... 0.942 eV per atom
Space-group type ... P4/mmm (123)
Electronic total energy ... -24.9 eV per cell

a = 3.7720 Å, b = 3.7720 Å, c = 4.8292 Å
α = 90.00°, β = 90.00°, γ = 90.00°
Closest atoms and distances in Å follow each position.
Positions (direct):
1 Sr 0.0000 0.0000 0.0000  4 Cu 2.67
2 Cu 0.5000 0.5000 0.0000  4 Sr 2.67
3 Tc 0.0000 0.5000 0.5000  4 Tc 2.67
4 Tc 0.5000 0.0000 0.5000  4 Tc 2.67

(14)
Li3MnN: optimized geometry, PBEsol.

Space-group type ... Pm-3m (221)
Electronic total energy ... -22.8 eV per cell
Raw formation energy ... 0.27 eV per atom

a = 3.9451 Å, b = 3.9451 Å, c = 3.9451 Å
α = 90.00°, β = 90.00°, γ = 90.00°
Closest atoms and distances in Å follow each position.
Positions (direct):
1 Li 0.0000 0.0000 0.5000  2 N 1.97
2 Li 0.0000 0.5000 0.0000  2 N 1.97
3 Li 0.5000 0.0000 0.0000  2 N 1.97
4 Mn 0.5000 0.5000 0.5000  12 Li 2.79
5 N 0.0000 0.0000 0.0000  6 Li 1.97

(15)
CsAsH2Pb: optimized geometry, PBEsol.

Space-group type ... P4/mmm (123)
Electronic total energy ... -11.4 eV per cell

a = 4.4989 Å, b = 4.4989 Å, c = 6.3488 Å
α = 90.00°, β = 90.00°, γ = 90.00°
Closest atoms and distances in Å follow each position.
Positions (direct):
1 Cs 0.0000 0.0000 0.0000  2 As 3.17, 4 Pb 3.18
2 As 0.0000 0.0000 0.5000  4 H 2.25
3 H 0.0000 0.5000 0.5000  2 As 2.25
4 H 0.5000 0.0000 0.5000  2 As 2.25
5 Pb 0.5000 0.5000 0.0000  4 Cs 3.18

(16)
Y2TiB: optimized geometry, PBEsol.

Energy of formation ... 0.273 eV per atom
Space-group type ... I-42d (122)
Electronic total energy ... -55.8 eV per cell

a = 6.9245 Å, b = 6.9245 Å, c = 6.9245 Å
α = 95.46°, β = 95.46°, γ = 144.06°
Closest atoms and distances in Å follow each position.
Positions (direct):
1 Y 0.3750 0.2237 0.3487  2 B 2.56
2 Y 0.7763 0.1250 0.1513  2 B 2.56
3 Y 0.8750 0.0263 0.6513  2 B 2.56
4 Y 0.9737 0.6250 0.8487  2 B 2.56
5 Ti 0.2500 0.7500 0.5000  2 B 2.14
6 Ti 0.5000 0.5000 0.0000  2 B 2.14
7 B 0.0000 0.0000 0.0000  2 Ti 2.14
8 B 0.7500 0.2500 0.5000  2 Ti 2.14

(17)
Al2Au3: optimized geometry, PBEsol.

Energy of formation ... -0.278 eV per atom
Space-group type ... R-3m (166)
Electronic total energy ... -21.3 eV per cell

a = 10.4536 Å, b = 10.4536 Å, c = 10.4536 Å
α = 16.74°, β = 16.74°, γ = 16.74°
Closest atoms and distances in Å follow each position.
Positions (direct):
1 Al 0.1009 0.1009 0.1009  6 Au 2.62-2.69
2 Al 0.8991 0.8991 0.8991  6 Au 2.62-2.69
3 Au 0.2955 0.2955 0.2955  3 Al 2.62, 3 Au 2.93
4 Au 0.5000 0.5000 0.5000  6 Al 2.69
5 Au 0.7045 0.7045 0.7045  3 Al 2.62, 3 Au 2.93

(18)
Sr4Bi6Se13: optimized geometry, PBEsol.

Space-group type ... P2_1/m (11)
Electronic total energy ... -210.9 eV per cell
Raw formation energy ... -0.97 eV per atom

a = 16.9603 Å, b = 4.2031 Å, c = 18.3728 Å
α = 90.00°, β = 90.72°, γ = 90.00°
Closest atoms and distances in Å follow each position.
Positions (direct):
1 Sr 0.0122 0.2500 0.2539  6 Se 2.98-3.08
2 Sr 0.2568 0.7500 0.7705  8 Se 3.14-3.37
3 Sr 0.2715 0.2500 0.3197  8 Se 3.14-3.36
4 Sr 0.4851 0.2500 0.1596  9 Se 3.15-3.52
5 Sr 0.5149 0.7500 0.8404  9 Se 3.15-3.52
6 Sr 0.7285 0.7500 0.6803  8 Se 3.14-3.36
7 Sr 0.7432 0.2500 0.2295  8 Se 3.14-3.37
8 Sr 0.9878 0.7500 0.7461  6 Se 2.98-3.08
9 Bi 0.0829 0.2500 0.9224  5 Se 2.75-2.98
10 Bi 0.1070 0.2500 0.5164  6 Se 2.86-2.98
11 Bi 0.1741 0.7500 0.1184  3 Se 2.74-2.82
12 Bi 0.3124 0.7500 0.5466  6 Se 2.81-3.02
13 Bi 0.3297 0.2500 0.9778  6 Se 2.78-3.10
14 Bi 0.4909 0.7500 0.3829  5 Se 2.74-3.04
15 Bi 0.5091 0.2500 0.6171  5 Se 2.74-3.04
16 Bi 0.6703 0.7500 0.0222  6 Se 2.78-3.10
17 Bi 0.6876 0.2500 0.4534  6 Se 2.81-3.02
18 Bi 0.8259 0.2500 0.8816  3 Se 2.74-2.82
19 Bi 0.8930 0.7500 0.4836  6 Se 2.86-2.98
20 Bi 0.9171 0.7500 0.0776  5 Se 2.75-2.98
21 Se 0.0235 0.7500 0.5876  3 Bi 2.86-2.91, 1 Sr 2.98
22 Se 0.0413 0.2500 0.0894  5 Bi 2.98-3.16, 1 Sr 3.07
23 Se 0.1167 0.2500 0.7765  1 Bi 2.75
24 Se 0.1433 0.7500 0.2643  1 Bi 2.74, 2 Sr 3.06
25 Se 0.1957 0.7500 0.4363  3 Bi 2.81-2.98
26 Se 0.1997 0.7500 0.9444  5 Bi 2.91-3.23
27 Se 0.2337 0.2500 0.6283  3 Bi 2.92-2.95
28 Se 0.2828 0.2500 0.1395  3 Bi 2.82-3.09
29 Se 0.3770 0.2500 0.8336  1 Bi 2.78
30 Se 0.3939 0.7500 0.2627  1 Bi 2.74
31 Se 0.3960 0.2500 0.4635  4 Bi 2.97-3.04
32 Se 0.4199 0.7500 0.6788  3 Bi 2.84-3.02
33 Se 0.4326 0.7500 0.0152  2 Bi 2.81
34 Se 0.5674 0.2500 0.9848  2 Bi 2.81
35 Se 0.5801 0.2500 0.3212  3 Bi 2.84-3.02
36 Se 0.6040 0.7500 0.5365  4 Bi 2.97-3.04
37 Se 0.6061 0.2500 0.7373  1 Bi 2.74
38 Se 0.6230 0.7500 0.1664  1 Bi 2.78
39 Se 0.7172 0.7500 0.8605  3 Bi 2.82-3.09
40 Se 0.7663 0.7500 0.3717  3 Bi 2.92-2.95
41 Se 0.8003 0.2500 0.0556  5 Bi 2.91-3.23
42 Se 0.8043 0.2500 0.5637  3 Bi 2.81-2.98
43 Se 0.8567 0.2500 0.7357  1 Bi 2.74, 2 Sr 3.06
44 Se 0.8833 0.7500 0.2235  1 Bi 2.75
45 Se 0.9587 0.7500 0.9106  5 Bi 2.98-3.16, 1 Sr 3.07
46 Se 0.9765 0.2500 0.4124  3 Bi 2.86-2.91, 1 Sr 2.98

(19)
MgFeCo4: optimized geometry, PBEsol.

Energy of formation ... 0.091 eV per atom
Space-group type ... F-43m (216)
Electronic total energy ... -41.1 eV per cell

a = 4.6508 Å, b = 4.6508 Å, c = 4.6508 Å
α = 60.00°, β = 60.00°, γ = 60.00°
Closest atoms and distances in Å follow each position.
Positions (direct):
1 Mg 0.0000 0.0000 0.0000  12 Co 2.73, 4 Fe 2.85
2 Fe 0.2500 0.2500 0.2500  12 Co 2.73, 4 Mg 2.85
3 Co 0.1260 0.6247 0.6247  6 Co 2.32-2.33
4 Co 0.6247 0.1260 0.6247  6 Co 2.32-2.33
5 Co 0.6247 0.6247 0.1260  6 Co 2.32-2.33
6 Co 0.6247 0.6247 0.6247  6 Co 2.32-2.33

(20)
K2SrTa: optimized geometry, PBEsol.

Energy above the most stable polymorph in this dataset ... 0.000 eV/atom
Energy of formation ... 0.968 eV per atom
Space-group type ... Pm (6)
Electronic total energy ... -12.8 eV per cell

a = 3.3818 Å, b = 3.3821 Å, c = 13.0777 Å
α = 90.00°, β = 90.42°, γ = 90.00°
Closest atoms and distances in Å follow each position.
Positions (direct):
1 K 0.0000 0.0000 0.0000  4 K 3.38
2 K 0.4930 0.5000 0.3201  4 K 3.38, 4 Ta 3.70
3 Sr 0.5054 0.5000 0.7089  4 Ta 3.29, 4 Sr 3.38
4 Ta 0.0002 0.0000 0.5362  4 Sr 3.29, 4 Ta 3.38

(21)
ScTa3I: optimized geometry, PBEsol.

Space-group type ... Pm-3m (221)
Electronic total energy ... -37.4 eV per cell
Raw formation energy ... 1.72 eV per atom

a = 4.9426 Å, b = 4.9426 Å, c = 4.9426 Å
α = 90.00°, β = 90.00°, γ = 90.00°
Closest atoms and distances in Å follow each position.
Positions (direct):
1 Sc 0.0000 0.0000 0.0000  12 Ta 3.49
2 Ta 0.0000 0.5000 0.5000  2 I 2.47
3 Ta 0.5000 0.0000 0.5000  2 I 2.47
4 Ta 0.5000 0.5000 0.0000  2 I 2.47
5 I 0.5000 0.5000 0.5000  6 Ta 2.47

(22)
SiTcAs: optimized geometry, PBEsol.

Space-group type ... F-43m (216)
Electronic total energy ... -20.8 eV per cell
Raw formation energy ... 0.42 eV per atom

a = 4.0811 Å, b = 4.0811 Å, c = 4.0811 Å
α = 60.00°, β = 60.00°, γ = 60.00°
Closest atoms and distances in Å follow each position.
Positions (direct):
1 Si 0.0000 0.0000 0.0000  4 As 2.50, 4 Tc 2.50
2 Tc 0.7500 0.7500 0.7500  4 Si 2.50
3 As 0.2500 0.2500 0.2500  4 Si 2.50

(23)
Li3Cr2Ni2O8: optimized geometry, PBEsol.

Space-group type ... C2/m (12)
Electronic total energy ... -105.1 eV per cell
Raw formation energy ... -1.63 eV per atom

a = 5.7019 Å, b = 5.7019 Å, c = 5.7128 Å
α = 119.67°, β = 119.67°, γ = 60.61°
Closest atoms and distances in Å follow each position.
Positions (direct):
1 Li 0.0000 0.0000 0.0000  6 O 1.99-2.11
2 Li 0.0000 0.5000 0.5000  6 O 2.11
3 Li 0.5000 0.0000 0.5000  6 O 2.11
4 Cr 0.0000 0.5000 0.0000  6 O 1.94-1.96
5 Cr 0.5000 0.0000 0.0000  6 O 1.94-1.96
6 Ni 0.5000 0.5000 0.0000  6 O 1.89-1.91
7 Ni 0.5000 0.5000 0.5000  6 O 1.96-2.05
8 O 0.2468 0.2468 0.2273  2 Cr 1.95, 3 Li 1.99-2.11, 1 Ni 2.05
9 O 0.2640 0.2640 0.7824  1 Ni 1.91, 2 Cr 1.96, 2 Li 2.11
10 O 0.2657 0.7132 0.2322  2 Ni 1.89-1.96, 1 Cr 1.94, 2 Li 2.11
11 O 0.2868 0.7343 0.7678  2 Ni 1.89-1.96, 1 Cr 1.94, 2 Li 2.11
12 O 0.7132 0.2657 0.2322  2 Ni 1.89-1.96, 1 Cr 1.94, 2 Li 2.11
13 O 0.7343 0.2868 0.7678  2 Ni 1.89-1.96, 1 Cr 1.94, 2 Li 2.11
14 O 0.7360 0.7360 0.2176  1 Ni 1.91, 2 Cr 1.96, 2 Li 2.11
15 O 0.7532 0.7532 0.7727  2 Cr 1.95, 3 Li 1.99-2.11, 1 Ni 2.05